<i>
Here is Mg2H2Rh after structural relaxation from Alexandria. Energies are from GGA-PBE.

Summary:
DOS(E_F) = 0.334 states/eV per atom

abc: 5.9786 5.9786 3.2016
angles: 90.00 90.00 90.00
Space group P4/mbm (No. 127)
Symmetry-distinct sites (fractional):
Mg (0.1876, 0.3124, 0.0000)
H (0.1583, 0.6583, 0.5000)
Rh (0.0000, 0.0000, 0.5000)


<ii>
Here is Mg2H2Rh after structural relaxation from Alexandria. Energies are from GGA-PBE.

Summary:
DOS(E_F) = 0.228 states/eV per atom

abc: 4.2789 5.4256 5.9236
angles: 113.29 91.03 111.41
Space group P-1 (No. 2)
Symmetry-distinct sites (fractional):
Mg (0.0494, 0.0734, 0.2874)
Mg (0.3175, 0.6335, 0.8809)
H (0.2588, 0.0062, 0.9984)
H (0.4991, 0.0336, 0.6761)
Rh (0.3274, 0.6813, 0.4037)


<iii>
Here is Mg2H2Rh after structural relaxation from Alexandria. Energies are from GGA-PBE.

Summary:
DOS(E_F) = 0.231 states/eV per atom

abc: 4.4632 4.4632 6.4555
angles: 90.00 90.00 90.00
Space group I4/mmm (No. 139)
Symmetry-distinct sites (fractional):
Mg (0.0000, 0.5000, 0.2500)
H (0.0000, 0.0000, 0.2412)
Rh (0.0000, 0.0000, 0.5000)


<iv>
Here is Mg2H2Rh after structural relaxation from Alexandria. Energies are from GGA-PBE.

Summary:
DOS(E_F) = 0.353 states/eV per atom

abc: 3.0651 3.0651 11.9767
angles: 90.00 90.00 90.00
Space group I4/mmm (No. 139)
Symmetry-distinct sites (fractional):
Mg (0.0000, 0.0000, 0.1456)
H (0.0000, 0.5000, 0.2500)
Rh (0.0000, 0.0000, 0.5000)


Verdict on stability: <iii> comes out on top.


<i>
Here is MgHRh2 after structural relaxation from Alexandria. Energies are from GGA-PBE.

Summary:
DOS(E_F) = 0.695 states/eV per atom

abc: 6.1796 6.1796 5.0977
angles: 90.00 90.00 90.00
Space group I-42d (No. 122)
Symmetry-distinct sites (fractional):
Mg (0.0000, 0.0000, 0.0000)
H (0.0000, 0.0000, 0.5000)
Rh (0.1433, 0.2500, 0.6250)


<ii>
Here is MgHRh2 after structural relaxation from Alexandria. Energies are from GGA-PBE.

Summary:
DOS(E_F) = 0.896 states/eV per atom

abc: 5.8615 5.8615 5.8615
angles: 90.00 90.00 90.00
Space group Fm-3m (No. 225)
Symmetry-distinct sites (fractional):
Mg (0.0000, 0.0000, 0.0000)
H (0.0000, 0.0000, 0.5000)
Rh (0.2500, 0.2500, 0.2500)


Verdict on stability: <i> comes out on top.


<i>
Here is MgHRh2 after structural relaxation from Alexandria. Energies are from GGA-PBE.

Summary:
DOS(E_F) = 1.404 states/eV per atom

abc: 2.8011 2.8011 6.2193
angles: 90.00 90.00 90.00
Space group P4/mmm (No. 123)
Symmetry-distinct sites (fractional):
Mg (0.0000, 0.0000, 0.0000)
H (0.0000, 0.0000, 0.5000)
Rh (0.5000, 0.5000, 0.2982)


<ii>
Here is MgHRh2 after structural relaxation from Alexandria. Energies are from GGA-PBE.

Summary:
DOS(E_F) = 1.191 states/eV per atom

abc: 2.8579 2.8579 20.0606
angles: 90.00 90.00 120.00
Space group R-3m (No. 166, hexagonal axes)
Symmetry-distinct sites (fractional):
Mg (0.0000, 0.0000, 0.0000)
H (0.0000, 0.0000, 0.5000)
Rh (0.0000, 0.0000, 0.2248)


Verdict on stability: <ii> comes out on top.


<i>
Here is Mg2HRh after structural relaxation from Alexandria. Energies are from GGA-PBE.

Summary:
DOS(E_F) = 0.408 states/eV per atom

abc: 4.5625 4.5625 3.2428
angles: 90.00 90.00 90.00
Space group P4/mmm (No. 123)
Symmetry-distinct sites (fractional):
Mg (0.0000, 0.5000, 0.0000)
H (0.0000, 0.0000, 0.0000)
Rh (0.0000, 0.0000, 0.5000)


<ii>
Here is Mg2HRh after structural relaxation from Alexandria. Energies are from GGA-PBE.

Summary:
DOS(E_F) = 0.428 states/eV per atom

abc: 6.1653 6.1653 6.1653
angles: 90.00 90.00 90.00
Space group Fm-3m (No. 225)
Symmetry-distinct sites (fractional):
Mg (0.2500, 0.2500, 0.2500)
H (0.0000, 0.0000, 0.0000)
Rh (0.0000, 0.0000, 0.5000)


<iii>
Here is Mg2HRh after structural relaxation from Alexandria. Energies are from GGA-PBE.

Summary:
DOS(E_F) = 0.283 states/eV per atom

abc: 6.4871 6.4871 5.1012
angles: 90.00 90.00 90.00
Space group I-42d (No. 122)
Symmetry-distinct sites (fractional):
Mg (0.1661, 0.7500, 0.1250)
H (0.0000, 0.0000, 0.0000)
Rh (0.0000, 0.0000, 0.5000)


<iv>
Here is Mg2HRh after structural relaxation from Alexandria. Energies are from GGA-PBE.

Summary:
DOS(E_F) = 0.365 states/eV per atom

abc: 2.9967 2.9967 6.4751
angles: 90.00 90.00 90.00
Space group P4/mmm (No. 123)
Symmetry-distinct sites (fractional):
Mg (0.0000, 0.0000, 0.2503)
H (0.5000, 0.5000, 0.0000)
Rh (0.5000, 0.5000, 0.5000)


Verdict on stability: <i> comes out on top.


<i>
Here is MgH3Rh2 after structural relaxation from Alexandria. Energies are from GGA-PBE.

Summary:
DOS(E_F) = 0.435 states/eV per atom

abc: 4.6962 4.6962 2.8267
angles: 90.00 90.00 120.00
Space group P6/mmm (No. 191)
Symmetry-distinct sites (fractional):
Mg (0.0000, 0.0000, 0.0000)
H (0.0000, 0.5000, 0.0000)
Rh (0.3333, 0.6667, 0.5000)


<ii>
Here is MgH3Rh2 after structural relaxation from Alexandria. Energies are from GGA-PBE.

Summary:
DOS(E_F) = 0.366 states/eV per atom

abc: 5.1062 9.4149 5.0523
angles: 90.00 110.01 90.00
Space group Cc (No. 9)
Symmetry-distinct sites (fractional):
Mg (0.0000, 0.1216, 0.0000)
H (0.3040, 0.1522, 0.6872)
H (0.3704, 0.4067, 0.0248)
H (0.4341, 0.0781, 0.1384)
Rh (0.0118, 0.2560, 0.4981)
Rh (0.0256, 0.4205, 0.0084)


Verdict on stability: <ii> comes out on top.


<i>
Here is MgSc2HRh after structural relaxation from Alexandria. Energies are from GGA-PBE.

Summary:
DOS(E_F) = 0.728 states/eV per atom

abc: 4.4315 4.4315 3.9239
angles: 90.00 90.00 90.00
Space group P4/mmm (No. 123)
Symmetry-distinct sites (fractional):
Mg (0.0000, 0.0000, 0.0000)
Sc (0.0000, 0.5000, 0.5000)
H (0.0000, 0.0000, 0.5000)
Rh (0.5000, 0.5000, 0.0000)


<ii>
Here is MgSc2HRh after structural relaxation from Alexandria. Energies are from GGA-PBE.

Summary:
DOS(E_F) = 0.662 states/eV per atom

abc: 4.5655 4.5655 3.7877
angles: 90.00 90.00 90.00
Space group P4/mmm (No. 123)
Symmetry-distinct sites (fractional):
Mg (0.0000, 0.0000, 0.0000)
Sc (0.0000, 0.5000, 0.5000)
H (0.5000, 0.5000, 0.5000)
Rh (0.5000, 0.5000, 0.0000)


Verdict on stability: <ii> comes out on top.